Entry from Alexandria via LeMat-Bulk: crystalline LaRe3C at its relaxed geometry (GGA-PBE).

Computed properties:
ΔE to the lowest computed polymorph = 0.0 meV/atom
Energy of formation = 0.5204 eV/atom
Total moment = 0.34 μB per atom

Lattice parameters (Å, degrees): 4.304 4.304 4.304 90.00 90.00 90.00
Atoms (fractional coordinates):
La (0.000, 0.000, 0.000)
Re (0.000, 0.500, 0.500)
Re (0.500, 0.000, 0.500)
Re (0.500, 0.500, 0.000)
C (0.500, 0.500, 0.500)